No. 1
A relaxed structure of ReSiCl2. Source: the Alexandria database, functional GGA-PBE.

relative energy among the computed polymorphs: 141.6 meV/atom
total magnetization: 0.00 μB/f.u.

The structure in POSCAR format:
```
ReSiCl2
1.0
4.1222 -1.5695 0.0000
4.1222 1.5695 0.0000
-0.8887 0.0000 7.4153
Re Si Cl
1 1 2
Cartesian
0.0000 0.0000 0.0000 Re
1.4067 0.0000 6.9452 Si
4.2170 0.0000 1.8120 Cl
6.6130 0.0000 5.0911 Cl
```

---

No. 2
A relaxed structure of ReSiCl2. Source: the Alexandria database, functional GGA-PBE.

relative energy among the computed polymorphs: 625.3 meV/atom
total magnetization: 0.00 μB/f.u.

The structure in POSCAR format:
```
ReSiCl2
1.0
1.4753 0.8518 9.1779
-1.4753 0.8518 9.1779
0.0000 -1.7035 9.1779
Re Si Cl
1 1 2
Cartesian
0.0000 0.0000 0.0000 Re
0.0000 0.0000 13.7668 Si
0.0000 0.0000 2.2769 Cl
0.0000 0.0000 25.2567 Cl
```

---

No. 3
A relaxed structure of ReSiCl2. Source: the Alexandria database, functional GGA-PBE.

relative energy among the computed polymorphs: 483.3 meV/atom
total magnetization: 0.00 μB/f.u.

The structure in POSCAR format:
```
ReSiCl2
1.0
3.0096 0.0000 0.0000
0.0000 3.0096 0.0000
0.0000 0.0000 8.3920
Re Si Cl
1 1 2
Cartesian
0.0000 0.0000 0.0000 Re
1.5048 1.5048 1.4261 Si
0.0000 0.0000 3.1917 Cl
1.5048 1.5048 6.7383 Cl
```

---

No. 4
A relaxed structure of ReSi2Cl. Source: the Alexandria database, functional GGA-PBE.

relative energy among the computed polymorphs: 171.4 meV/atom
total magnetization: 0.00 μB/f.u.

The structure in POSCAR format:
```
ReSi2Cl
1.0
3.1092 0.0000 0.0000
0.0000 3.1092 0.0000
0.0000 0.0000 7.7222
Re Si Cl
1 2 1
Cartesian
0.0000 0.0000 0.0000 Re
0.0000 0.0000 2.5077 Si
1.5546 1.5546 1.1706 Si
1.5546 1.5546 5.9103 Cl
```

---

No. 5
A relaxed structure of ReSi2Cl. Source: the Alexandria database, functional GGA-PBE.

relative energy among the computed polymorphs: 511.8 meV/atom
total magnetization: 0.00 μB/f.u.

The structure in POSCAR format:
```
ReSi2Cl
1.0
4.4579 -1.4969 0.0000
4.4579 1.4969 0.0000
-0.5194 0.0000 4.6942
Re Si Cl
1 2 1
Cartesian
0.0000 0.0000 0.0000 Re
2.0683 0.0000 3.7268 Si
6.3281 0.0000 0.9674 Si
4.1982 0.0000 2.3471 Cl
```

---

No. 6
A relaxed structure of ReSi2Cl. Source: the Alexandria database, functional GGA-PBE.

relative energy among the computed polymorphs: 272.9 meV/atom
total magnetization: 0.00 μB/f.u.

The structure in POSCAR format:
```
ReSi2Cl
1.0
1.6196 -2.5286 0.0000
1.6196 2.5286 0.0000
0.0000 0.0000 8.0125
Re Si Cl
1 2 1
Cartesian
0.0000 0.0000 0.0000 Re
1.6196 0.0000 1.8257 Si
1.6196 0.0000 6.1868 Si
0.0000 0.0000 4.0062 Cl
```

---

No. 7
A relaxed structure of ReSiCl2. Source: the Alexandria database, functional GGA-PBE.

relative energy among the computed polymorphs: 741.8 meV/atom
total magnetization: 0.16 μB/f.u.

The structure in POSCAR format:
```
ReSiCl2
1.0
1.4336 -2.6732 0.0000
1.4336 2.6732 0.0000
0.0000 0.0000 11.5469
Re Si Cl
1 1 2
Cartesian
0.0000 0.0000 0.0000 Re
0.0000 0.0000 5.7734 Si
1.4336 0.0000 1.9314 Cl
1.4336 0.0000 9.6155 Cl
```

---

No. 8
A relaxed structure of ReSiCl2. Source: the Alexandria database, functional GGA-PBE.

relative energy among the computed polymorphs: 1432.4 meV/atom
total magnetization: 3.47 μB/f.u.

The structure in POSCAR format:
```
ReSiCl2
1.0
-2.0889 2.0889 4.3095
2.0889 -2.0889 4.3095
2.0889 2.0889 -4.3095
Re Si Cl
1 1 2
Cartesian
0.0000 0.0000 0.0000 Re
0.0000 0.0000 4.3095 Si
2.0889 0.0000 2.1547 Cl
0.0000 2.0889 2.1547 Cl
```

---

No. 9
A relaxed structure of ReSi2Cl. Source: the Alexandria database, functional GGA-PBE.

relative energy among the computed polymorphs: 403.2 meV/atom
total magnetization: 0.00 μB/f.u.

The structure in POSCAR format:
```
ReSi2Cl
1.0
1.3893 -2.6182 0.0000
1.3893 2.6182 0.0000
0.0000 0.0000 9.6323
Re Si Cl
1 2 1
Cartesian
0.0000 0.0000 0.0000 Re
0.0000 0.0000 4.2231 Si
1.3893 0.0000 2.0997 Si
1.3893 0.0000 7.6578 Cl
```

---

No. 10
A relaxed structure of ReSi2Cl. Source: the Alexandria database, functional GGA-PBE.

relative energy among the computed polymorphs: 256.4 meV/atom
total magnetization: 0.00 μB/f.u.

The structure in POSCAR format:
```
ReSi2Cl
1.0
4.1295 0.0000 0.0000
0.0000 4.1247 0.0000
-1.5005 0.0000 4.1664
Re Si Cl
1 2 1
Cartesian
0.0000 0.0000 0.0000 Re
-0.8932 2.0624 3.1515 Si
0.6331 0.0000 2.7010 Si
2.8628 2.0624 1.0028 Cl
```

---

No. 11
A relaxed structure of ReSi2Cl. Source: the Alexandria database, functional GGA-PBE.

relative energy among the computed polymorphs: 898.0 meV/atom
total magnetization: 1.16 μB/f.u.

The structure in POSCAR format:
```
ReSi2Cl
1.0
0.0000 3.1509 3.1509
3.1509 0.0000 3.1509
3.1509 3.1509 0.0000
Re Si Cl
1 2 1
Cartesian
0.0000 0.0000 0.0000 Re
1.5755 1.5755 1.5755 Si
4.7264 4.7264 4.7264 Si
3.1509 3.1509 3.1509 Cl
```

---

No. 12
A relaxed structure of Re4SiCl. Source: the Alexandria database, functional GGA-PBE.

total magnetization: 0.01 μB/f.u.

The structure in POSCAR format:
```
Re4SiCl
1.0
0.0000 3.7099 3.7099
3.7099 0.0000 3.7099
3.7099 3.7099 0.0000
Re Si Cl
4 1 1
Cartesian
0.9269 0.9269 0.9269 Re
2.7830 2.7830 0.9269 Re
2.7830 0.9269 2.7830 Re
0.9269 2.7830 2.7830 Re
3.7099 3.7099 3.7099 Si
5.5649 5.5649 5.5649 Cl
```

---

Energy relative to the elements, uncorrected (computed, kJ/mol of formula units): -17, 170, 115, 110, 241, 149, 215, 481, 199, 143, 390, 736